Version one
TaMnSbF2 | GGA+U | optimized geometry

Unit cell a=4.269 b=4.269 c=5.889 alpha=90.00 beta=90.00 gamma=90.00
Element x y z (fractional)
Ta 0.000 0.000 0.000
Mn 0.500 0.500 0.000
Sb 0.000 0.000 0.500
F 0.000 0.500 0.500
F 0.500 0.000 0.500



Version two
TaMnSbF2 | GGA+U | optimized geometry

Unit cell a=4.253 b=4.253 c=5.840 alpha=90.00 beta=90.00 gamma=90.00
Element x y z (fractional)
Ta 0.000 0.000 0.000
Mn 0.500 0.500 0.000
Sb 0.500 0.500 0.500
F 0.000 0.500 0.500
F 0.500 0.000 0.500



Which of them is the most stable? Correct choice: version one.



Version one
MnSb2TeF | GGA+U | optimized geometry

Unit cell a=5.187 b=5.187 c=5.172 alpha=90.00 beta=90.00 gamma=90.00
Element x y z (fractional)
Mn 0.000 0.000 0.000
Sb 0.000 0.500 0.000
Sb 0.500 0.000 0.000
Te 0.000 0.000 0.500
F 0.500 0.500 0.500



Version two
MnSb2TeF | GGA+U | optimized geometry

Unit cell a=4.692 b=4.692 c=5.678 alpha=90.00 beta=90.00 gamma=90.00
Element x y z (fractional)
Mn 0.000 0.000 0.000
Sb 0.000 0.500 0.500
Sb 0.500 0.000 0.500
Te 0.500 0.500 0.000
F 0.500 0.500 0.500



Which of them is the most stable? Correct choice: version two.